(1)
The following is a PBE calculation of a relaxed Th4Sb5Se crystal, from Alexandria.

a b c (Å): 19.2941 4.4430 8.4322
angles (deg): 90.00 114.21 90.00
Last column: nearest neighbours and their distance in Å.
Space group C2/m (No. 12)
Inequivalent atoms, fractional coordinates:
1 Th 0.0119 0.0000 0.2497 [4 per cell]  2 Se 3.00, 4 Sb 3.07-3.15
2 Th 0.1780 0.5000 0.1450 [4 per cell]  6 Sb 3.13-3.43, 1 Se 3.14
3 Sb 0.0000 0.5000 0.5000 [2 per cell]  4 Th 3.14
4 Sb 0.1609 0.0000 0.8619 [4 per cell]  4 Th 3.07-3.18
5 Sb 0.1895 0.0000 0.4653 [4 per cell]  2 Sb 3.10, 4 Th 3.15-3.43
6 Se 0.0000 0.5000 0.0000 [2 per cell]  6 Th 3.00-3.14

Calculated volume in Å³ per atom: 32.96
Formation energy from raw total energies in eV per atom: -0.675

---

(2)
The following is a PBE calculation of a relaxed Th5SbSe5 crystal, from Alexandria.

a b c (Å): 13.3513 6.0299 8.4272
angles (deg): 90.00 107.96 90.00
Last column: nearest neighbours and their distance in Å.
Space group C2/m (No. 12)
Inequivalent atoms, fractional coordinates:
1 Th 0.0000 0.0000 0.0000 [2 per cell]  4 Se 2.97-2.99, 2 Sb 3.01
2 Th 0.1699 0.5000 0.3447 [4 per cell]  5 Se 2.95-3.02, 1 Sb 3.09
3 Th 0.1730 0.5000 0.8262 [4 per cell]  5 Se 3.00-3.08, 1 Sb 3.09
4 Sb 0.0000 0.5000 0.0000 [2 per cell]  6 Th 3.01-3.09
5 Se 0.0000 0.5000 0.5000 [2 per cell]  4 Th 2.95-3.00
6 Se 0.1542 0.0000 0.3410 [4 per cell]  5 Th 2.95-3.05
7 Se 0.1633 0.0000 0.8244 [4 per cell]  5 Th 2.99-3.08

Calculated volume in Å³ per atom: 29.34
Formation energy from raw total energies in eV per atom: -1.449

---

(3)
The following is a PBE calculation of a relaxed Th6SbSe5 crystal, from Alexandria.

a b c (Å): 7.3535 12.8217 7.3807
angles (deg): 90.00 109.66 90.00
Last column: nearest neighbours and their distance in Å.
Space group C2/m (No. 12)
Inequivalent atoms, fractional coordinates:
1 Th 0.2332 0.0000 0.2489 [4 per cell]  5 Se 2.92-3.00, 1 Sb 3.11
2 Th 0.2384 0.1729 0.7376 [8 per cell]  5 Se 2.99-3.02, 1 Sb 3.14
3 Sb 0.0000 0.5000 0.0000 [2 per cell]  6 Th 3.11-3.14
4 Se 0.0000 0.0000 0.5000 [2 per cell]  6 Th 2.92-3.00
5 Se 0.0000 0.1706 0.0000 [4 per cell]  6 Th 3.00-3.02
6 Se 0.0000 0.3444 0.5000 [4 per cell]  6 Th 2.97-3.02

Calculated volume in Å³ per atom: 27.31
Formation energy from raw total energies in eV per atom: -1.429

---

(4)
The following is a PBE calculation of a relaxed Th2SbSe crystal, from Alexandria.

a b c (Å): 4.3829 4.3829 21.1077
angles (deg): 90.00 90.00 120.00
Last column: nearest neighbours and their distance in Å.
Space group R-3m (No. 166, hexagonal axes)
Inequivalent atoms, fractional coordinates:
1 Th 0.0000 0.0000 0.2421 [6 per cell]  3 Se 2.99, 3 Sb 3.18
2 Sb 0.0000 0.0000 0.0000 [3 per cell]  6 Th 3.18
3 Se 0.0000 0.0000 0.5000 [3 per cell]  6 Th 2.99

Calculated volume in Å³ per atom: 29.26
Distance to the lowest polymorph of the same formula in eV/atom: 0.000
Formation energy from raw total energies in eV per atom: -1.222

---

(5)
The following is a PBE calculation of a relaxed Th2SbSe3 crystal, from Alexandria.

a b c (Å): 16.9670 4.4546 10.8494
angles (deg): 90.00 105.76 90.00
Last column: nearest neighbours and their distance in Å.
Space group C2/m (No. 12)
Inequivalent atoms, fractional coordinates:
1 Th 0.0053 0.0000 0.3175 [4 per cell]  4 Se 2.88-3.17
2 Th 0.1536 0.5000 0.0744 [4 per cell]  7 Se 2.93-3.05
3 Sb 0.0884 0.5000 0.5413 [4 per cell]  1 Sb 2.89
4 Se 0.0030 0.5000 0.8545 [4 per cell]  4 Th 2.88-2.99, 1 Se 3.19
5 Se 0.1679 0.0000 0.8891 [4 per cell]  4 Th 2.94-3.17
6 Se 0.1705 0.0000 0.2549 [4 per cell]  3 Th 2.93-3.06

Calculated volume in Å³ per atom: 32.88
Formation energy from raw total energies in eV per atom: -1.448

---

(6)
The following is a PBE calculation of a relaxed ThTl3Sb2Se6 crystal, from Alexandria.

a b c (Å): 7.2571 12.6557 8.3498
angles (deg): 90.00 107.05 90.00
Last column: nearest neighbours and their distance in Å.
Space group C2/m (No. 12)
Inequivalent atoms, fractional coordinates:
1 Th 0.0000 0.0000 0.0000 [2 per cell]  6 Se 2.94
2 Tl 0.0000 0.1631 0.5000 [4 per cell]  6 Se 3.36-3.39
3 Tl 0.0000 0.5000 0.5000 [2 per cell]  6 Se 3.37-3.38
4 Sb 0.0000 0.3320 0.0000 [4 per cell]  6 Se 2.92-2.94
5 Se 0.2334 0.5000 0.2050 [4 per cell]  1 Th 2.94, 2 Sb 2.94
6 Se 0.2356 0.1675 0.2065 [8 per cell]  2 Sb 2.92-2.93, 1 Th 2.94

Calculated volume in Å³ per atom: 30.55
Formation energy from raw total energies in eV per atom: -0.652

---

(7)
The following is a PBE calculation of a relaxed Th4TlSb2Se crystal, from Alexandria.

a b c (Å): 7.6265 4.4614 7.7595
angles (deg): 90.00 109.56 90.00
Last column: nearest neighbours and their distance in Å.
Space group P2/m (No. 10)
Inequivalent atoms, fractional coordinates:
1 Th 0.2379 0.0000 0.2374 [2 per cell]  2 Se 3.07, 1 Tl 3.14, 3 Sb 3.15-3.22
2 Th 0.2447 0.5000 0.7565 [2 per cell]  1 Se 3.07, 2 Tl 3.14, 3 Sb 3.15-3.22
3 Tl 0.5000 0.0000 0.0000 [1 per cell]  6 Th 3.14
4 Sb 0.0000 0.0000 0.5000 [1 per cell]  6 Th 3.15
5 Sb 0.5000 0.5000 0.5000 [1 per cell]  6 Th 3.22
6 Se 0.0000 0.5000 0.0000 [1 per cell]  6 Th 3.07

Calculated volume in Å³ per atom: 31.10
Formation energy from raw total energies in eV per atom: -0.820

---

(8)
The following is a PBE calculation of a relaxed ThZrSbSe crystal, from Alexandria.

a b c (Å): 7.2743 7.2743 7.2743
angles (deg): 90.00 90.00 90.00
Last column: nearest neighbours and their distance in Å.
Space group F-43m (No. 216)
Inequivalent atoms, fractional coordinates:
1 Th 0.0000 0.0000 0.0000 [4 per cell]  4 Se 3.15, 4 Sb 3.15
2 Zr 0.0000 0.0000 0.5000 [4 per cell]  4 Se 3.15, 4 Sb 3.15
3 Sb 0.2500 0.2500 0.2500 [4 per cell]  4 Zr 3.15, 4 Th 3.15
4 Se 0.2500 0.2500 0.7500 [4 per cell]  4 Zr 3.15, 4 Th 3.15

Calculated volume in Å³ per atom: 24.06
Formation energy from raw total energies in eV per atom: -0.933

---

(9)
The following is a PBE calculation of a relaxed TiSb2Se5 crystal, from Alexandria.

a b c (Å): 5.4560 13.5109 12.9822
angles (deg): 90.00 90.00 90.00
Last column: nearest neighbours and their distance in Å.
Space group Cmcm (No. 63)
Inequivalent atoms, fractional coordinates:
1 Ti 0.0000 0.1956 0.2500 [4 per cell]  6 Se 2.51-2.77
2 Sb 0.0000 0.1481 0.5601 [8 per cell]  6 Se 2.71-2.97
3 Se 0.0000 0.0543 0.1241 [8 per cell]  1 Ti 2.51, 1 Sb 2.71
4 Se 0.0000 0.2707 0.7500 [4 per cell]  2 Ti 2.77, 2 Sb 2.97
5 Se 0.0000 0.3095 0.0896 [8 per cell]  1 Ti 2.59, 2 Sb 2.81

Calculated volume in Å³ per atom: 29.91
Formation energy from raw total energies in eV per atom: -0.456

---

(10)
The following is a PBE calculation of a relaxed Ti8Sb2Se crystal, from Alexandria.

a b c (Å): 15.5946 4.7666 5.1713
angles (deg): 90.00 93.84 90.00
Last column: nearest neighbours and their distance in Å.
Space group C2/m (No. 12)
Inequivalent atoms, fractional coordinates:
1 Ti 0.0436 0.0000 0.2540 [4 per cell]  2 Se 2.78, 5 Ti 2.87-2.96, 2 Sb 3.02-3.05
2 Ti 0.0877 0.5000 0.5439 [4 per cell]  5 Ti 2.66-2.87, 1 Se 2.80, 2 Sb 2.86
3 Ti 0.1659 0.5000 0.1016 [4 per cell]  1 Se 2.60, 4 Ti 2.66-2.84, 3 Sb 2.85-2.87
4 Ti 0.2335 0.0000 0.3321 [4 per cell]  4 Sb 2.77-3.07, 7 Ti 2.82-2.97
5 Sb 0.1521 0.0000 0.7926 [4 per cell]  11 Ti 2.77-3.07
6 Se 0.0000 0.5000 0.0000 [2 per cell]  8 Ti 2.60-2.80

Calculated volume in Å³ per atom: 17.43
Formation energy from raw total energies in eV per atom: -0.388

---

(11)
The following is a PBE calculation of a relaxed Ti2SbSe2 crystal, from Alexandria.

a b c (Å): 7.5835 7.5835 3.2956
angles (deg): 90.00 90.00 90.00
Last column: nearest neighbours and their distance in Å.
Space group P4/mbm (No. 127)
Inequivalent atoms, fractional coordinates:
1 Ti 0.1410 0.3590 0.0000 [4 per cell]  6 Se 2.68-2.89, 2 Sb 2.92
2 Sb 0.0000 0.0000 0.0000 [2 per cell]  4 Ti 2.92
3 Se 0.1379 0.6379 0.5000 [4 per cell]  6 Ti 2.68-2.89, 1 Se 2.96

Calculated volume in Å³ per atom: 18.95
Formation energy from raw total energies in eV per atom: -0.700

---

(12)
The following is a PBE calculation of a relaxed Ti6Sb3Se crystal, from Alexandria.

a b c (Å): 9.9812 12.7587 6.5548
angles (deg): 90.00 90.00 90.00
Last column: nearest neighbours and their distance in Å.
Space group Cmc2_1 (No. 36)
Inequivalent atoms, fractional coordinates:
1 Ti 0.0000 0.0297 0.0000 [4 per cell]  1 Se 2.44
2 Ti 0.0000 0.2439 0.6188 [4 per cell]  1 Se 2.49
3 Ti 0.1518 0.4315 0.5683 [8 per cell]  4 Sb 2.75-2.79, 3 Ti 2.82-3.03
4 Ti 0.1714 0.2403 0.0385 [8 per cell]  1 Se 2.57, 3 Sb 2.79-2.81, 1 Ti 2.82
5 Sb 0.0000 0.4020 0.9173 [4 per cell]  7 Ti 2.77-2.81
6 Sb 0.1948 0.0930 0.7222 [8 per cell]  7 Ti 2.75-2.89
7 Se 0.0000 0.1561 0.2799 [4 per cell]  4 Ti 2.44-2.57

Calculated volume in Å³ per atom: 20.87
Distance to the lowest polymorph of the same formula in eV/atom: 0.020
Formation energy from raw total energies in eV per atom: -0.376

---

(13)
The following is a PBE calculation of a relaxed TiSbSe4 crystal, from Alexandria.

a b c (Å): 6.5346 6.6136 6.6403
angles (deg): 90.00 90.31 90.00
Last column: nearest neighbours and their distance in Å.
Space group P2_1/c (No. 14)
Inequivalent atoms, fractional coordinates:
1 Ti 0.0000 0.0000 0.0000 [2 per cell]  6 Se 2.52-2.62
2 Sb 0.5000 0.0000 0.5000 [2 per cell]  6 Se 2.86-2.96
3 Se 0.1040 0.1514 0.3435 [4 per cell]  2 Ti 2.58-2.62
4 Se 0.3510 0.6091 0.3892 [4 per cell]  1 Ti 2.52

Calculated volume in Å³ per atom: 23.91
Distance to the lowest polymorph of the same formula in eV/atom: 0.148
Formation energy from raw total energies in eV per atom: -0.477

---

(14)
The following is a PBE calculation of a relaxed Ti6Sb3Se crystal, from Alexandria.

a b c (Å): 11.1319 3.5275 11.1829
angles (deg): 90.00 118.67 90.00
Last column: nearest neighbours and their distance in Å.
Space group P2_1/m (No. 11)
Inequivalent atoms, fractional coordinates:
1 Ti 0.0387 0.2500 0.1206 [2 per cell]  3 Se 2.65-2.94, 2 Sb 2.94
2 Ti 0.1286 0.7500 0.5695 [2 per cell]  6 Sb 2.74-3.07, 1 Ti 2.99
3 Ti 0.2341 0.2500 0.9749 [2 per cell]  2 Se 2.56, 3 Sb 2.75-2.87, 2 Ti 2.86
4 Ti 0.2405 0.7500 0.3740 [2 per cell]  1 Se 2.58, 3 Sb 2.67-2.73, 2 Ti 2.79
5 Ti 0.4054 0.2500 0.3231 [2 per cell]  2 Se 2.75, 2 Ti 2.79, 2 Sb 2.88
6 Ti 0.4609 0.7500 0.1169 [2 per cell]  4 Sb 2.74-2.94, 1 Se 2.76, 2 Ti 2.86
7 Sb 0.0278 0.2500 0.7090 [2 per cell]  7 Ti 2.67-2.94
8 Sb 0.3321 0.7500 0.8382 [2 per cell]  6 Ti 2.74-2.87
9 Sb 0.3619 0.2500 0.5858 [2 per cell]  5 Ti 2.73-2.94
10 Se 0.2226 0.7500 0.1356 [2 per cell]  8 Ti 2.56-2.76

Calculated volume in Å³ per atom: 19.26
Distance to the lowest polymorph of the same formula in eV/atom: 0.000
Formation energy from raw total energies in eV per atom: -0.395

---

(15)
The following is a PBE calculation of a relaxed Ti3Sb3Se crystal, from Alexandria.

a b c (Å): 7.6417 11.1698 7.2871
angles (deg): 90.00 91.24 90.00
Last column: nearest neighbours and their distance in Å.
Space group C2/m (No. 12)
Inequivalent atoms, fractional coordinates:
1 Ti 0.0335 0.0000 0.3154 [4 per cell]  2 Se 2.50-2.61, 1 Ti 2.75
2 Ti 0.1680 0.3499 0.1787 [8 per cell]  1 Se 2.49
3 Sb 0.0000 0.1551 0.0000 [4 per cell]  6 Ti 2.83-2.88
4 Sb 0.0000 0.2379 0.5000 [4 per cell]  4 Ti 2.97-2.99
5 Sb 0.1383 0.5000 0.8580 [4 per cell]  5 Ti 2.83-2.89, 1 Sb 2.99
6 Se 0.2257 0.5000 0.4259 [4 per cell]  4 Ti 2.49-2.61

Calculated volume in Å³ per atom: 22.21
Formation energy from raw total energies in eV per atom: -0.398

---

(16)
The following is a PBE calculation of a relaxed Ti2Sb2Se crystal, from Alexandria.

a b c (Å): 7.3055 7.3055 3.8593
angles (deg): 90.00 90.00 90.00
Last column: nearest neighbours and their distance in Å.
Space group P4/mbm (No. 127)
Inequivalent atoms, fractional coordinates:
1 Ti 0.1535 0.3465 0.0000 [4 per cell]  2 Se 2.77, 6 Sb 2.85-2.91
2 Sb 0.1441 0.6441 0.5000 [4 per cell]  6 Ti 2.85-2.91, 1 Sb 2.98
3 Se 0.0000 0.0000 0.0000 [2 per cell]  4 Ti 2.77

Calculated volume in Å³ per atom: 20.60
Formation energy from raw total energies in eV per atom: -0.438

---

(17)
The following is a PBE calculation of a relaxed Ti5Sb2Se crystal, from Alexandria.

a b c (Å): 4.8136 13.0984 11.4877
angles (deg): 90.00 90.00 90.00
Last column: nearest neighbours and their distance in Å.
Space group Cmcm (No. 63)
Inequivalent atoms, fractional coordinates:
1 Ti 0.0000 0.0996 0.1322 [8 per cell]  1 Se 2.58, 1 Ti 2.71, 2 Sb 2.73-2.77
2 Ti 0.0000 0.2931 0.7500 [4 per cell]  2 Se 2.53
3 Ti 0.0000 0.3009 0.0291 [8 per cell]  1 Se 2.58, 2 Sb 2.81, 2 Ti 2.83
4 Sb 0.0000 0.1109 0.6054 [8 per cell]  6 Ti 2.73-2.93
5 Se 0.0000 0.2671 0.2500 [4 per cell]  6 Ti 2.53-2.58

Calculated volume in Å³ per atom: 22.63
Formation energy from raw total energies in eV per atom: -0.132

---

(18)
The following is a PBE calculation of a relaxed TiSbSe4 crystal, from Alexandria.

a b c (Å): 3.6805 6.7057 7.6971
angles (deg): 65.44 76.26 90.00
Last column: nearest neighbours and their distance in Å.
Space group P-1 (No. 2)
Inequivalent atoms, fractional coordinates:
1 Ti 0.0000 0.0000 0.0000 [1 per cell]  6 Se 2.58-2.60
2 Sb 0.5000 0.5000 0.0000 [1 per cell]  6 Se 2.76-2.77
3 Se 0.1166 0.8085 0.7653 [2 per cell]  1 Ti 2.58, 2 Sb 2.76
4 Se 0.3885 0.7386 0.2243 [2 per cell]  2 Ti 2.60, 1 Sb 2.77

Calculated volume in Å³ per atom: 27.80
Distance to the lowest polymorph of the same formula in eV/atom: 0.000
Formation energy from raw total energies in eV per atom: -0.625

---

(19)
The following is a PBE calculation of a relaxed TiSb2Se crystal, from Alexandria.

a b c (Å): 6.2634 6.2634 13.5110
angles (deg): 90.00 90.00 90.00
Last column: nearest neighbours and their distance in Å.
Space group I-42d (No. 122)
Inequivalent atoms, fractional coordinates:
1 Ti 0.0000 0.0000 0.0000 [4 per cell]  4 Sb 2.70
2 Sb 0.2262 0.2500 0.1250 [8 per cell]  2 Ti 2.70, 2 Se 2.87
3 Se 0.0000 0.0000 0.5000 [4 per cell]  4 Sb 2.87

Calculated volume in Å³ per atom: 33.13
Formation energy from raw total energies in eV per atom: 0.286

---

(20)
The following is a PBE calculation of a relaxed TiSbSe crystal, from Alexandria.

a b c (Å): 3.4373 3.4373 7.0823
angles (deg): 90.00 90.00 120.00
Last column: nearest neighbours and their distance in Å.
Space group P3m1 (No. 156)
Inequivalent atoms, fractional coordinates:
1 Ti 0.0000 0.0000 0.0000 [1 per cell]  3 Se 2.50
2 Sb 0.3333 0.6667 0.6943 [1 per cell]  3 Ti 2.94
3 Se 0.6667 0.3333 0.2147 [1 per cell]  3 Ti 2.50

Calculated volume in Å³ per atom: 24.16
Formation energy from raw total energies in eV per atom: -0.667